{"formula": "PaMo2O5", "functional": "GGA+U", "state": "relaxed", "cell": [[6.433, 0.000, 0.000], [0.819, 7.111, 0.000], [0.319, 0.566, 9.566]], "species": ["Pa", "Pa", "Pa", "Pa", "Mo", "Mo", "Mo", "Mo", "Mo", "Mo", "Mo", "Mo", "O", "O", "O", "O", "O", "O", "O", "O", "O", "O", "O", "O", "O", "O", "O", "O", "O", "O", "O", "O"], "fractional_positions": [[0.048, 0.249, 0.482], [0.452, 0.244, 0.993], [0.548, 0.756, 0.007], [0.952, 0.751, 0.518], [0.017, 0.034, 0.161], [0.018, 0.573, 0.154], [0.436, 0.032, 0.670], [0.458, 0.550, 0.670], [0.542, 0.450, 0.330], [0.564, 0.968, 0.330], [0.982, 0.427, 0.846], [0.983, 0.966, 0.839], [0.059, 0.774, 0.304], [0.072, 0.181, 0.970], [0.075, 0.290, 0.258], [0.175, 0.955, 0.565], [0.203, 0.517, 0.529], [0.321, 0.318, 0.783], [0.322, 0.861, 0.845], [0.353, 0.957, 0.143], [0.354, 0.512, 0.107], [0.427, 0.193, 0.449], [0.573, 0.807, 0.551], [0.646, 0.488, 0.893], [0.647, 0.043, 0.857], [0.678, 0.139, 0.155], [0.679, 0.682, 0.217], [0.797, 0.483, 0.471], [0.825, 0.045, 0.435], [0.925, 0.710, 0.742], [0.928, 0.819, 0.030], [0.941, 0.226, 0.696]], "total_energy_ev_per_atom": -8.195, "density_kg_m3": 7633, "crystal_system": "triclinic"}